The following is a PBE calculation of a geometry-optimized Tb5DySc5 structure, from Alexandria via LeMat-Bulk.

abc: 5.7864 5.7864 11.3413
angles: 90.00 90.00 120.00
Last column: nearest neighbours and their distance in Å.
Space group P-6m2 (No. 187)
Asymmetric unit:
1 Tb 0.0000 0.0000 0.0000  2 Sc 3.06, 3 Dy 3.34
2 Tb 0.3333 0.6667 0.3190  9 Sc 3.39-3.55, 1 Dy 3.62
3 Tb 0.6667 0.3333 0.1590  3 Sc 3.57, 7 Tb 3.61-3.80, 3 Dy 3.80
4 Dy 0.3333 0.6667 0.0000  5 Tb 3.34-3.62
5 Sc 0.0000 0.0000 0.2694  4 Tb 3.06-3.39, 3 Sc 3.09
6 Sc 0.3286 0.1643 0.5000  6 Sc 2.85-3.09

## Properties
energy of formation from the pure elements: 0.2391 eV/atom
VASP energy: -5.16 eV per atom